# KFeTc2O8

A relaxed structure of KFeTc2O8 (GGA+U, Alexandria).

Output
Calculated volume (Å³ per cell): 214
Space group: P-3, No. 147
Size of the total moment (μB/f.u.): 2.942
DFT total energy (Ry/atom): -0.5222

The structure in POSCAR format:
```
KFeTc2O8
1.0
5.827 0.000 0.000
-2.914 5.047 0.000
0.000 0.000 7.275
K Fe Tc O
1 1 2 8
Cartesian
0.000 0.000 0.000 K
0.000 0.000 3.637 Fe
0.000 3.364 5.448 Tc
2.914 1.682 1.827 Tc
-0.023 1.689 4.879 O
-1.440 4.222 4.879 O
0.000 3.364 7.192 O
1.451 0.864 2.395 O
1.462 4.183 4.879 O
2.914 1.682 0.083 O
4.353 0.825 2.395 O
2.936 3.358 2.395 O
```